KMoIr | PBE | relaxed

Summary:
crystal system: cubic
energy relative to the lowest polymorph listed for this composition: 1213 meV/atom
total moment: 3.9 μB per cell

Lattice parameters (Å, degrees): 4.674 4.674 4.674 60.00 60.00 60.00
Fractional positions:
K1 0.000 0.000 0.000
Mo1 0.750 0.750 0.750
Ir1 0.250 0.250 0.250